(1)
First-principles (PBE) data for a relaxed SnGeC2N crystal, as listed in Alexandria via LeMat-Bulk.

Calculated values
mass density: 5.81 g/cm³
magnetic moment: 0.000 μB per atom
raw total energy: -4.656 eV/atom
crystal system: tetragonal

Cell lengths 4.1891, 4.1891, 3.7348 Å; angles 90.00, 90.00, 90.00 degrees
Fractional positions:
Sn  0.0000  0.0000  0.0000
Ge  0.5000  0.5000  0.0000
C  0.0000  0.5000  0.5000
C  0.5000  0.0000  0.5000
N  0.5000  0.5000  0.5000

***

(2)
First-principles (PBE) data for a relaxed TePbW2 crystal, as listed in Alexandria via LeMat-Bulk.

Calculated values
mass density: 12.06 g/cm³
magnetic moment: 0.000 μB per atom
raw total energy: -7.126 eV/atom
crystal system: monoclinic

Cell lengths 3.8336, 4.7451, 5.3274 Å; angles 90.00, 93.14, 90.00 degrees
Fractional positions:
Te  0.0000  0.0000  0.0000
Pb  0.5000  0.0000  0.5000
W  0.1917  0.5000  0.3339
W  0.8083  0.5000  0.6661

***

(3)
First-principles (PBE) data for a relaxed Sm2UTc2C4 crystal, as listed in Alexandria via LeMat-Bulk.

Calculated values
mass density: 9.75 g/cm³
magnetic moment: 0.001 μB per atom
raw total energy: -8.710 eV/atom
ΔH_f (0 K): -0.0038 eV per atom
crystal system: monoclinic

Cell lengths 6.7022, 6.7022, 6.1639 Å; angles 106.25, 106.25, 30.21 degrees
Fractional positions:
Sm  0.1348  0.1348  0.0390
Sm  0.8652  0.8652  0.9610
U  0.0000  0.0000  0.5000
Tc  0.3240  0.3240  0.4939
Tc  0.6760  0.6760  0.5061
C  0.2291  0.2291  0.7233
C  0.4734  0.4734  0.7416
C  0.5266  0.5266  0.2584
C  0.7709  0.7709  0.2767

***

(4)
First-principles (PBE) data for a relaxed SbIO2F8 crystal, as listed in Alexandria via LeMat-Bulk.

Calculated values
mass density: 3.68 g/cm³
magnetic moment: 0.000 μB per atom
raw total energy: -4.100 eV/atom
crystal system: monoclinic

Cell lengths 5.9749, 10.2917, 13.0330 Å; angles 90.00, 102.85, 90.00 degrees
Fractional positions:
Sb  0.0014  0.2499  0.4899
Sb  0.0014  0.2501  0.9899
Sb  0.9986  0.7499  0.0101
Sb  0.9986  0.7501  0.5101
I  0.2707  0.0094  0.1811
I  0.2707  0.4906  0.6811
I  0.7293  0.5094  0.3189
I  0.7293  0.9906  0.8189
O  0.0891  0.1512  0.1335
O  0.0891  0.3488  0.6335
O  0.2030  0.5862  0.5592
O  0.2030  0.9138  0.0592
O  0.7970  0.0862  0.9408
O  0.7970  0.4138  0.4408
O  0.9109  0.6512  0.3665
O  0.9109  0.8488  0.8665
F  0.0415  0.5618  0.7396
F  0.0415  0.9382  0.2396
F  0.1082  0.6721  0.1434
F  0.1082  0.8279  0.6434
F  0.1890  0.1096  0.5499
F  0.1890  0.3904  0.0499
F  0.2467  0.1648  0.9464
F  0.2467  0.3352  0.4464
F  0.2496  0.6948  0.9545
F  0.2496  0.8052  0.4545
F  0.3660  0.0971  0.3079
F  0.3660  0.4029  0.8079
F  0.4607  0.6224  0.7490
F  0.4607  0.8776  0.2490
F  0.4697  0.5766  0.3560
F  0.4697  0.9234  0.8560
F  0.5303  0.0766  0.1440
F  0.5303  0.4234  0.6440
F  0.5393  0.1224  0.7510
F  0.5393  0.3776  0.2510
F  0.6340  0.5971  0.1921
F  0.6340  0.9029  0.6921
F  0.7504  0.1948  0.5455
F  0.7504  0.3052  0.0455
F  0.7533  0.6648  0.5536
F  0.7533  0.8352  0.0536
F  0.8110  0.6096  0.9501
F  0.8110  0.8904  0.4501
F  0.8918  0.1721  0.3566
F  0.8918  0.3279  0.8566
F  0.9585  0.0618  0.7604
F  0.9585  0.4382  0.2604